# Hf2Sc3Pa, optimized geometry, DFT PBE
# energy	-7.95	eV per atom
data_Hf2Sc3Pa
_chemical_formula_sum 'Hf8 Sc12 Pa4'
_symmetry_space_group_name_H-M 'C 1 2/m 1'
_symmetry_Int_Tables_number 12
_cell_length_a 16.056
_cell_length_b 3.124
_cell_length_c 11.793
_cell_angle_alpha 90.00
_cell_angle_beta 101.89
_cell_angle_gamma 90.00
loop_
_symmetry_equiv_pos_as_xyz
'x,y,z'
'-x,-y,-z'
'-x,y,-z'
'x,-y,z'
'x+1/2,y+1/2,z'
'-x+1/2,-y+1/2,-z'
'-x+1/2,y+1/2,-z'
'x+1/2,-y+1/2,z'
loop_
_atom_site_label
_atom_site_type_symbol
_atom_site_fract_x
_atom_site_fract_y
_atom_site_fract_z
Hf1 Hf 0.075 0.000 0.203
Hf2 Hf 0.241 0.000 0.107
Sc1 Sc 0.079 0.500 0.443
Sc2 Sc 0.096 0.000 0.706
Sc3 Sc 0.244 0.000 0.380
Pa1 Pa 0.077 0.500 0.957